No. 1
Computed, not measured: crystalline HoHgTeO at its relaxed geometry at the PBE level of DFT.

total magnetic moment = 0.003 μB/atom
offset from the most stable computed form = 0 meV/atom

Structure (CIF):
```
data_HoHgTeO
_chemical_formula_sum 'Ho2 Hg2 Te2 O2'
_space_group_name_H-M_alt 'P 4/n m m'
_space_group_IT_number 129
_cell_length_a 4.102
_cell_length_b 4.102
_cell_length_c 10.566
_cell_angle_alpha 90.00
_cell_angle_beta 90.00
_cell_angle_gamma 90.00
loop_
_space_group_symop_operation_xyz
'x,y,z'
'-x,-y,-z'
'-y+1/2,x,z'
'y+1/2,-x,-z'
'-x+1/2,-y+1/2,z'
'x+1/2,y+1/2,-z'
'y,-x+1/2,z'
'-y,x+1/2,-z'
'x+1/2,-y,-z'
'-x+1/2,y,z'
'-y,-x,-z'
'y,x,z'
'-x,y+1/2,-z'
'x,-y+1/2,z'
'y+1/2,x+1/2,-z'
'-y+1/2,-x+1/2,z'
loop_
_atom_site_label
_atom_site_fract_x
_atom_site_fract_y
_atom_site_fract_z
Ho1 0.250 0.250 0.094
Hg1 0.250 0.750 0.500
Te1 0.250 0.250 0.740
O1 0.250 0.750 0.000
```


No. 2
Computed, not measured: crystalline HoTlHgO3 at its relaxed geometry at the PBE level of DFT.

total magnetic moment = 0.000 μB/atom
final energy = -5.370 eV per atom

Structure (CIF):
```
data_HoTlHgO3
_chemical_formula_sum 'Ho4 Tl4 Hg4 O12'
_space_group_name_H-M_alt 'C m c m'
_space_group_IT_number 63
_space_group_name_Hall '-C 2c 2'
_cell_length_a 3.498
_cell_length_b 13.530
_cell_length_c 8.843
_cell_angle_alpha 90.00
_cell_angle_beta 90.00
_cell_angle_gamma 90.00
loop_
_atom_site_label
_atom_site_fract_x
_atom_site_fract_y
_atom_site_fract_z
Ho1 0.000 0.000 0.000
Tl1 0.000 0.334 0.250
Hg1 0.000 0.348 0.750
O1 0.000 0.043 0.750
O2 0.000 0.394 0.523
```


No. 3
Computed, not measured: crystalline Ho2HgOs at its relaxed geometry at the PBE level of DFT.

total magnetic moment = 0.000 μB/atom
formation enthalpy at 0 K = -402 meV per atom

Structure (CIF):
```
data_Ho2HgOs
_chemical_formula_sum 'Ho2 Hg1 Os1'
_space_group_name_H-M_alt 'P 4/m m m'
_space_group_IT_number 123
_space_group_name_Hall '-P 4 2'
_cell_length_a 3.434
_cell_length_b 3.434
_cell_length_c 7.591
_cell_angle_alpha 90.00
_cell_angle_beta 90.00
_cell_angle_gamma 90.00
loop_
_atom_site_label
_atom_site_fract_x
_atom_site_fract_y
_atom_site_fract_z
Ho1 0.000 0.000 0.217
Hg1 0.500 0.500 0.500
Os1 0.500 0.500 0.000
```


No. 4
Computed, not measured: crystalline HoPaHg at its relaxed geometry at the PBE level of DFT.

total magnetic moment = 0.676 μB/atom
formation enthalpy at 0 K = 443 meV per atom

Structure (CIF):
```
data_HoPaHg
_chemical_formula_sum 'Ho4 Pa4 Hg4'
_space_group_name_H-M_alt 'F -4 3 m'
_space_group_IT_number 216
_space_group_name_Hall 'F -4 2 3'
_cell_length_a 7.152
_cell_length_b 7.152
_cell_length_c 7.152
_cell_angle_alpha 90.00
_cell_angle_beta 90.00
_cell_angle_gamma 90.00
loop_
_atom_site_label
_atom_site_fract_x
_atom_site_fract_y
_atom_site_fract_z
Ho1 0.000 0.000 0.000
Pa1 0.000 0.000 0.500
Hg1 0.250 0.250 0.250
```


No. 5
Computed, not measured: crystalline HoHgPb at its relaxed geometry at the PBE level of DFT.

total magnetic moment = 0.000 μB/atom
final energy = -2.916 eV per atom

Structure (CIF):
```
data_HoHgPb
_chemical_formula_sum 'Ho4 Hg4 Pb4'
_space_group_name_H-M_alt 'F -4 3 m'
_space_group_IT_number 216
_space_group_name_Hall 'F -4 2 3'
_cell_length_a 7.170
_cell_length_b 7.170
_cell_length_c 7.170
_cell_angle_alpha 90.00
_cell_angle_beta 90.00
_cell_angle_gamma 90.00
loop_
_atom_site_label
_atom_site_fract_x
_atom_site_fract_y
_atom_site_fract_z
Ho1 0.000 0.000 0.000
Hg1 0.000 0.000 0.500
Pb1 0.250 0.250 0.750
```


No. 6
Computed, not measured: crystalline HoHgTe3Pb at its relaxed geometry at the PBE level of DFT.

total magnetic moment = 0.001 μB/atom
final energy = -3.591 eV per atom

Structure (CIF):
```
data_HoHgTe3Pb
_chemical_formula_sum 'Ho4 Hg4 Te12 Pb4'
_space_group_name_H-M_alt 'C m c m'
_space_group_IT_number 63
_space_group_name_Hall '-C 2c 2'
_cell_length_a 4.386
_cell_length_b 15.057
_cell_length_c 11.129
_cell_angle_alpha 90.00
_cell_angle_beta 90.00
_cell_angle_gamma 90.00
loop_
_atom_site_label
_atom_site_fract_x
_atom_site_fract_y
_atom_site_fract_z
Ho1 0.000 0.000 0.000
Hg1 0.000 0.470 0.250
Te1 0.000 0.104 0.250
Te2 0.000 0.354 0.039
Pb1 0.000 0.229 0.750
```


No. 7
Computed, not measured: crystalline HoHgPd at its relaxed geometry at the PBE level of DFT.

total magnetic moment = 0.002 μB/atom
formation enthalpy at 0 K = -596 meV per atom

Structure (CIF):
```
data_HoHgPd
_chemical_formula_sum 'Ho4 Hg4 Pd4'
_space_group_name_H-M_alt 'F -4 3 m'
_space_group_IT_number 216
_space_group_name_Hall 'F -4 2 3'
_cell_length_a 6.631
_cell_length_b 6.631
_cell_length_c 6.631
_cell_angle_alpha 90.00
_cell_angle_beta 90.00
_cell_angle_gamma 90.00
loop_
_atom_site_label
_atom_site_fract_x
_atom_site_fract_y
_atom_site_fract_z
Ho1 0.000 0.000 0.000
Hg1 0.000 0.000 0.500
Pd1 0.250 0.250 0.750
```


No. 8
Computed, not measured: crystalline PrHoHg6 at its relaxed geometry at the PBE level of DFT.

total magnetic moment = 0.001 μB/atom
formation enthalpy at 0 K = -358 meV per atom

Structure (CIF):
```
data_PrHoHg6
_chemical_formula_sum 'Pr1 Ho1 Hg6'
_space_group_name_H-M_alt 'P -6 m 2'
_space_group_IT_number 187
_space_group_name_Hall 'P -6 2'
_cell_length_a 6.6541
_cell_length_b 6.6541
_cell_length_c 5.0313
_cell_angle_alpha 90.00
_cell_angle_beta 90.00
_cell_angle_gamma 120.00
loop_
_atom_site_label
_atom_site_fract_x
_atom_site_fract_y
_atom_site_fract_z
Pr1 0.0000 0.0000 0.0000
Ho1 0.6667 0.3333 0.5000
Hg1 0.1715 0.3430 0.5000
Hg2 0.5011 0.0022 0.0000
```